This record from the Alexandria database describes crystalline Mn2TlFeSn at its relaxed geometry. The functional is PBE.

Output
Its symmetry is P4/mmm. As for the calculated density: 6.425 g/cm3. Its total energy is -27.08 eV for the cell shown. The density of states at the Fermi level comes out at 4.81 states/eV/cell.

abc: 5.0089 5.0356 5.0089
angles: 90.00 90.00 90.00
Site moments in Bohr magnetons follow the coordinates.
Sites, in units of the cell vectors:
Tl1 0.0000 0.0000 0.0000  -0.09
Mn1 0.0000 0.0000 0.5000  4.13
Mn2 0.5000 0.0000 0.0000  3.82
Sn1 0.5000 0.5000 0.5000  -0.17
Fe1 0.0000 0.5000 0.0000  3.00